1.
This record from the Alexandria database describes an optimized crystal structure of TmBe9Ir2. The functional is PBE.

The structure in POSCAR format:
```
TmBe9Ir2
1.0
4.438 0.000 0.000
-2.219 3.844 0.000
0.000 0.000 14.299
Tm Be Ir
2 18 4
Direct
0.333 0.667 0.250
0.667 0.333 0.750
0.000 0.000 0.000
0.000 0.000 0.250
0.000 0.000 0.500
0.000 0.000 0.750
0.170 0.340 0.618
0.170 0.340 0.882
0.170 0.830 0.618
0.170 0.830 0.882
0.333 0.667 0.750
0.340 0.170 0.118
0.340 0.170 0.382
0.660 0.830 0.618
0.660 0.830 0.882
0.667 0.333 0.250
0.830 0.170 0.118
0.830 0.170 0.382
0.830 0.660 0.118
0.830 0.660 0.382
0.333 0.667 0.041
0.333 0.667 0.459
0.667 0.333 0.541
0.667 0.333 0.959
```

Summary:
As for the formation enthalpy at 0 K: -4.6 eV per formula unit. The calculation puts the calculated volume at 10.163 Å³ per atom. The calculation puts the calculated total energy at -5.028 eV per atom. Its space-group type is P6_3/mmc, No. 194.

=====

2.
This record from the Alexandria database describes an optimized crystal structure of ZrTe2. The functional is PBE.

The structure in POSCAR format:
```
ZrTe2
1.0
1.972 -7.517 0.000
1.972 7.517 0.000
0.000 0.000 5.859
Zr Te
2 4
Direct
0.189 0.811 0.750
0.811 0.189 0.250
0.164 0.836 0.250
0.450 0.550 0.250
0.550 0.450 0.750
0.836 0.164 0.750
```

Summary:
The calculation puts the formation energy (no corrections) at -218 kJ/mol of formula units. The calculation puts the calculated volume at 28.958 Å³ per atom. The calculation puts the calculated total energy at -5.697 eV per atom. Its space-group type is Cmcm, No. 63.

=====

3.
This record from the Alexandria database describes an optimized crystal structure of K4Ta2Cu. The functional is PBE.

The structure in POSCAR format:
```
K4Ta2Cu
1.0
-3.389 3.389 7.925
3.389 -3.389 7.925
3.389 3.389 -7.925
K Ta Cu
4 2 1
Direct
0.000 0.500 0.500
0.198 0.198 0.000
0.500 0.000 0.500
0.802 0.802 0.000
0.430 0.430 0.000
0.570 0.570 0.000
0.000 0.000 0.000
```

Summary:
As for the formation enthalpy at 0 K: 9.7 eV per formula unit. The calculation puts the calculated volume at 52.024 Å³ per atom. The calculation puts the calculated total energy at -3.218 eV per atom. Its space-group type is I4/mmm, No. 139.

=====

4.
This record from the Alexandria database describes an optimized crystal structure of Ac2SnSb. The functional is PBE.

The structure in POSCAR format:
```
Ac2SnSb
1.0
0.000 4.106 4.106
4.106 0.000 4.106
4.106 4.106 0.000
Ac Sn Sb
2 1 1
Direct
0.250 0.250 0.250
0.750 0.750 0.750
0.000 0.000 0.000
0.500 0.500 0.500
```

Summary:
The calculation puts the formation energy (no corrections) at -277 kJ/mol of formula units. The calculation puts the calculated volume at 34.600 Å³ per atom. For the energy above the lowest structure with this stoichiometry, the calculation gives 0.932 eV per formula unit. The calculation puts the calculated total energy at -4.803 eV per atom. Its space-group type is Fm-3m, No. 225.

=====

5.
This record from the Alexandria database describes an optimized crystal structure of TbPaSiAu. The functional is PBE.

The structure in POSCAR format:
```
TbPaSiAu
1.0
0.000 3.581 3.581
3.581 0.000 3.581
3.581 3.581 0.000
Tb Pa Si Au
1 1 1 1
Direct
0.000 0.000 0.000
0.500 0.500 0.500
0.750 0.750 0.750
0.250 0.250 0.250
```

Summary:
The calculation puts the formation energy (no corrections) at -132 kJ/mol of formula units. The calculation puts the calculated volume at 22.966 Å³ per atom. The calculation puts the calculated total energy at -6.048 eV per atom. Its space-group type is F-43m, No. 216.

=====

6.
This record from the Alexandria database describes an optimized crystal structure of Mg2SeO. The functional is PBE.

The structure in POSCAR format:
```
Mg2SeO
1.0
0.000 3.115 3.115
3.115 0.000 3.115
3.115 3.115 0.000
Mg Se O
2 1 1
Direct
0.250 0.250 0.250
0.750 0.750 0.750
0.000 0.000 0.000
0.500 0.500 0.500
```

Summary:
The calculation puts the formation energy (no corrections) at -383 kJ/mol of formula units. The calculation puts the calculated volume at 15.107 Å³ per atom. For the energy above the lowest structure with this stoichiometry, the calculation gives 3.727 eV per formula unit. The calculation puts the calculated total energy at -3.901 eV per atom. Its space-group type is Fm-3m, No. 225.

=====

7.
This record from the Alexandria database describes an optimized crystal structure of Cs2LaScC. The functional is PBE.

The structure in POSCAR format:
```
Cs2LaScC
1.0
7.356 0.000 0.000
0.000 7.356 0.000
0.000 0.000 5.574
Cs La Sc C
2 1 1 1
Direct
0.000 0.500 0.000
0.500 0.000 0.000
0.000 0.000 0.500
0.000 0.000 0.000
0.500 0.500 0.500
```

Summary:
As for the formation enthalpy at 0 K: 9.9 eV per formula unit. The calculation puts the calculated volume at 60.316 Å³ per atom. The calculation puts the calculated total energy at -2.468 eV per atom. Its space-group type is P4/mmm, No. 123.

=====

8.
This record from the Alexandria database describes an optimized crystal structure of CsMg2Pd2. The functional is PBE.

The structure in POSCAR format:
```
CsMg2Pd2
1.0
-2.292 2.292 5.985
2.292 -2.292 5.985
2.292 2.292 -5.985
Cs Mg Pd
1 2 2
Direct
0.000 0.000 0.000
0.250 0.750 0.500
0.750 0.250 0.500
0.375 0.375 0.000
0.625 0.625 0.000
```

Summary:
As for the formation enthalpy at 0 K: -1.0 eV per formula unit. The calculation puts the calculated volume at 25.145 Å³ per atom. For the energy above the lowest structure with this stoichiometry, the calculation gives 0.013 eV per formula unit. The calculation puts the calculated total energy at -3.091 eV per atom. Its space-group type is I4/mmm, No. 139.

=====

9.
This record from the Alexandria database describes an optimized crystal structure of Ho8Mg2Ag. The functional is PBE.

The structure in POSCAR format:
```
Ho8Mg2Ag
1.0
8.785 -2.673 0.000
8.785 2.673 0.000
-2.242 0.000 6.721
Ho Mg Ag
8 2 1
Direct
0.021 0.021 0.270
0.191 0.191 0.766
0.340 0.340 0.552
0.404 0.404 0.055
0.596 0.596 0.945
0.660 0.660 0.448
0.809 0.809 0.234
0.979 0.979 0.730
0.187 0.187 0.197
0.813 0.813 0.803
0.500 0.500 0.500
```

Summary:
As for the formation enthalpy at 0 K: 0.2 eV per formula unit. The calculation puts the calculated volume at 28.694 Å³ per atom. The calculation puts the calculated total energy at -3.863 eV per atom. Its space-group type is C2/m, No. 12.

=====

10.
This record from the Alexandria database describes an optimized crystal structure of Dy2Sn2PRh4. The functional is PBE.

The structure in POSCAR format:
```
Dy2Sn2PRh4
1.0
-3.135 3.135 4.448
3.135 -3.135 4.448
3.135 3.135 -4.448
Dy Sn P Rh
2 2 1 4
Direct
0.203 0.203 0.000
0.797 0.797 0.000
0.250 0.750 0.500
0.750 0.250 0.500
0.500 0.500 0.000
0.244 0.244 0.488
0.244 0.756 0.000
0.756 0.244 0.000
0.756 0.756 0.512
```

Summary:
As for the formation enthalpy at 0 K: -4.5 eV per formula unit. The calculation puts the calculated volume at 19.426 Å³ per atom. The calculation puts the calculated total energy at -6.279 eV per atom. Its space-group type is I4/mmm, No. 139.

=====

11.
This record from the Alexandria database describes an optimized crystal structure of CdSb2Au2. The functional is PBE.

The structure in POSCAR format:
```
CdSb2Au2
1.0
8.097 0.000 0.000
0.000 8.097 0.000
0.000 0.000 3.705
Cd Sb Au
2 4 4
Direct
0.000 0.000 0.000
0.500 0.500 0.000
0.183 0.317 0.000
0.317 0.817 0.000
0.683 0.183 0.000
0.817 0.683 0.000
0.124 0.624 0.500
0.376 0.124 0.500
0.624 0.876 0.500
0.876 0.376 0.500
```

Summary:
The calculation puts the formation energy (no corrections) at 49 kJ/mol of formula units. The calculation puts the calculated volume at 24.289 Å³ per atom. For the energy above the lowest structure with this stoichiometry, the calculation gives 0.628 eV per formula unit. The calculation puts the calculated total energy at -3.041 eV per atom. Its space-group type is P4/mbm, No. 127.

=====

12.
This record from the Alexandria database describes an optimized crystal structure of Mg2AsH. The functional is PBE.

The structure in POSCAR format:
```
Mg2AsH
1.0
-2.553 2.553 5.925
2.553 -2.553 5.925
2.553 2.553 -5.925
Mg As H
4 2 2
Direct
0.054 0.625 0.929
0.375 0.304 0.429
0.696 0.125 0.071
0.875 0.946 0.571
0.250 0.750 0.500
0.500 0.500 0.000
0.000 0.000 0.000
0.750 0.250 0.500
```

Summary:
The calculation puts the calculated volume at 19.302 Å³ per atom. For the energy above the lowest structure with this stoichiometry, the calculation gives 0.885 eV per formula unit. The calculation puts the calculated total energy at -2.991 eV per atom. Its space-group type is I-42d, No. 122.